Entry 1:
# Sr2CdPb2 meta-GGA SCAN PBEsol geometry
data_Sr2CdPb2
_chemical_formula_sum 'Sr4 Cd2 Pb4'
_cell_length_a 7.970
_cell_length_b 7.970
_cell_length_c 5.062
_cell_angle_alpha 90.00
_cell_angle_beta 90.00
_cell_angle_gamma 90.00
_symmetry_space_group_name_H-M 'P 4/m b m'
_symmetry_Int_Tables_number 127
_symmetry_space_group_name_Hall '-P 4 2ab'
loop_
_atom_site_label
_atom_site_fract_x
_atom_site_fract_y
_atom_site_fract_z
_atom_site_occupancy
Sr1 0.167 0.333 0.000 1
Cd1 0.000 0.000 0.500 1
Pb1 0.139 0.639 0.500 1
# Energy relative to the elements in eV per atom: -0.587


Entry 2:
# LaCd2Fe meta-GGA SCAN PBEsol geometry
data_LaCd2Fe
_chemical_formula_sum 'La1 Cd2 Fe1'
_cell_length_a 4.026
_cell_length_b 4.135
_cell_length_c 5.171
_cell_angle_alpha 90.00
_cell_angle_beta 90.00
_cell_angle_gamma 90.00
_symmetry_space_group_name_H-M 'P m m m'
_symmetry_Int_Tables_number 47
loop_
_symmetry_equiv_pos_as_xyz
'x,y,z'
'-x,-y,-z'
'-x,-y,z'
'x,y,-z'
'x,-y,-z'
'-x,y,z'
'-x,y,-z'
'x,-y,z'
loop_
_atom_site_label
_atom_site_fract_x
_atom_site_fract_y
_atom_site_fract_z
_atom_site_occupancy
La1 0.000 0.000 0.000 1
Cd1 0.000 0.500 0.500 1
Cd2 0.500 0.000 0.500 1
Fe1 0.500 0.500 0.000 1
# Energy relative to the elements in eV per atom: 0.174


Entry 3:
# Ag2Sb meta-GGA SCAN PBEsol geometry
data_Ag2Sb
_chemical_formula_sum 'Ag4 Sb2'
_cell_length_a 4.8842
_cell_length_b 4.8842
_cell_length_c 5.7702
_cell_angle_alpha 90.00
_cell_angle_beta 90.00
_cell_angle_gamma 120.00
_symmetry_space_group_name_H-M 'P 63/m m c'
_symmetry_Int_Tables_number 194
_symmetry_space_group_name_Hall '-P 6c 2c'
loop_
_atom_site_label
_atom_site_fract_x
_atom_site_fract_y
_atom_site_fract_z
_atom_site_occupancy
Ag1 0.0000 0.0000 0.0000 1
Ag2 0.3333 0.6667 0.2500 1
Sb1 0.3333 0.6667 0.7500 1
# Distance to the lowest polymorph of the same formula in meV/atom: 79
# Formation energy from raw total energies in eV per formula unit: 0.5


Entry 4:
# FePt4Se meta-GGA SCAN PBEsol geometry
data_FePt4Se
_chemical_formula_sum 'Fe4 Pt16 Se4'
_cell_length_a 7.356
_cell_length_b 7.356
_cell_length_c 7.356
_cell_angle_alpha 90.00
_cell_angle_beta 90.00
_cell_angle_gamma 90.00
_symmetry_space_group_name_H-M 'F -4 3 m'
_symmetry_Int_Tables_number 216
_symmetry_space_group_name_Hall 'F -4 2 3'
loop_
_atom_site_label
_atom_site_fract_x
_atom_site_fract_y
_atom_site_fract_z
_atom_site_occupancy
Fe1 0.000 0.000 0.000 1
Pt1 0.125 0.125 0.625 1
Se1 0.250 0.250 0.250 1
# Formation energy from raw total energies in eV per formula unit: 2.2


Entry 5:
# SrH2Rh meta-GGA SCAN PBEsol geometry
data_SrH2Rh
_chemical_formula_sum 'Sr4 H8 Rh4'
_cell_length_a 4.438
_cell_length_b 4.438
_cell_length_c 10.774
_cell_angle_alpha 90.00
_cell_angle_beta 90.00
_cell_angle_gamma 90.00
_symmetry_space_group_name_H-M 'I -4 2 d'
_symmetry_Int_Tables_number 122
_symmetry_space_group_name_Hall 'I -4 2bw'
loop_
_atom_site_label
_atom_site_fract_x
_atom_site_fract_y
_atom_site_fract_z
_atom_site_occupancy
Sr1 0.000 0.000 0.000 1
H1 0.035 0.250 0.625 1
Rh1 0.000 0.000 0.500 1
# Energy in eV for the cell shown: -257.844


Entry 6:
# KYBi2Mo meta-GGA SCAN PBEsol geometry
data_KYBi2Mo
_chemical_formula_sum 'K1 Y1 Bi2 Mo1'
_cell_length_a 5.770
_cell_length_b 5.770
_cell_length_c 5.916
_cell_angle_alpha 90.00
_cell_angle_beta 90.00
_cell_angle_gamma 90.00
_symmetry_space_group_name_H-M 'P 4/m m m'
_symmetry_Int_Tables_number 123
_symmetry_space_group_name_Hall '-P 4 2'
loop_
_atom_site_label
_atom_site_fract_x
_atom_site_fract_y
_atom_site_fract_z
_atom_site_occupancy
K1 0.000 0.000 0.000 1
Y1 0.000 0.000 0.500 1
Bi1 0.000 0.500 0.500 1
Mo1 0.500 0.500 0.000 1
# Energy relative to the elements in eV per atom: 1.070


Entry 7:
# MgTiAs2O7 meta-GGA SCAN PBEsol geometry
data_MgTiAs2O7
_chemical_formula_sum 'Mg4 Ti4 As8 O28'
_cell_length_a 8.369
_cell_length_b 8.424
_cell_length_c 10.804
_cell_angle_alpha 90.00
_cell_angle_beta 126.06
_cell_angle_gamma 90.00
_symmetry_space_group_name_H-M 'P 1 21/c 1'
_symmetry_Int_Tables_number 14
loop_
_symmetry_equiv_pos_as_xyz
'x,y,z'
'-x,-y,-z'
'-x,y+1/2,-z+1/2'
'x,-y+1/2,z+1/2'
loop_
_atom_site_label
_atom_site_fract_x
_atom_site_fract_y
_atom_site_fract_z
_atom_site_occupancy
Mg1 0.163 0.124 0.124 1
Ti1 0.353 0.012 0.701 1
As1 0.065 0.724 0.735 1
As2 0.497 0.717 0.031 1
O1 0.025 0.582 0.607 1
O2 0.137 0.224 0.279 1
O3 0.196 0.625 0.225 1
O4 0.227 0.656 0.924 1
O5 0.228 0.166 0.578 1
O6 0.452 0.083 0.317 1
O7 0.475 0.604 0.612 1
# Formation energy from raw total energies in eV per formula unit: -23.5


Entry 8:
# TlCrReTc2 meta-GGA SCAN PBEsol geometry
data_TlCrReTc2
_chemical_formula_sum 'Tl1 Cr1 Re1 Tc2'
_cell_length_a 4.285
_cell_length_b 4.285
_cell_length_c 4.796
_cell_angle_alpha 90.00
_cell_angle_beta 90.00
_cell_angle_gamma 90.00
_symmetry_space_group_name_H-M 'P 4/m m m'
_symmetry_Int_Tables_number 123
_symmetry_space_group_name_Hall '-P 4 2'
loop_
_atom_site_label
_atom_site_fract_x
_atom_site_fract_y
_atom_site_fract_z
_atom_site_occupancy
Tl1 0.000 0.000 0.000 1
Cr1 0.000 0.000 0.500 1
Re1 0.500 0.500 0.000 1
Tc1 0.000 0.500 0.500 1
# Energy relative to the elements in eV per atom: 1.910